(1)
8
Lattice="4.193 0.000 0.000 0.000 4.193 0.000 2.096 2.096 9.158" Properties=species:S:1:pos:R:3 comment="Sc2ReAu, relaxed, DFT PBE-GGA" ef_ev_per_atom=0.443 total_magnetization_mub_per_cell=0.88 crystal_system=tetragonal pbc="T T T"
Au 4.193 2.096 4.579
Sc 3.144 3.190 6.868
Sc 1.094 3.144 2.289
Sc 3.099 1.048 2.289
Au 0.000 0.000 0.000
Re 2.096 4.193 4.579
Sc 5.241 5.195 6.868
Re 2.096 2.096 0.000


(2)
4
Lattice="-4.534 -2.206 -1.610 -0.494 -5.270 -0.089 -3.153 -2.422 3.495" Properties=species:S:1:pos:R:3 comment="Pr2HgPt, relaxed, DFT PBE-GGA" ef_ev_per_atom=-0.694 de_polymorph_mev_per_atom=48.5 total_magnetization_mub_per_cell=0.00 crystal_system=cubic pbc="T T T"
Hg 0.000 0.000 0.000
Pr -2.045 -2.474 0.449
Pt -4.091 -4.949 0.898
Pr -6.136 -7.423 1.347


(3)
4
Lattice="5.224 0.042 0.000 1.785 4.909 0.000 -3.505 -2.475 2.980" Properties=species:S:1:pos:R:3 comment="YZn2Si, relaxed, DFT PBE-GGA" total_magnetization_mub_per_cell=0.00 crystal_system=tetragonal e_form_raw_ev_per_atom=-0.149 pbc="T T T"
Zn 0.000 0.000 0.000
Zn 0.893 2.455 1.490
Si 3.505 2.475 0.000
Y 2.612 0.021 1.490


(4)
14
Lattice="5.679 -0.394 1.464 2.113 5.287 1.464 1.048 0.658 8.480" Properties=species:S:1:pos:R:3 comment="PdPbF5, relaxed, DFT PBE-GGA" total_magnetization_mub_per_cell=0.00 crystal_system=monoclinic e_form_raw_ev_per_atom=-1.780 pbc="T T T"
F 5.060 1.566 5.491
F 2.753 1.622 8.179
F 6.240 0.458 7.824
F 2.133 1.446 3.939
Pb 4.865 2.647 7.824
Pd 0.000 0.000 0.000
F 6.707 4.104 7.469
F 4.133 4.206 9.731
F 3.780 3.984 5.918
F 4.707 1.344 1.678
F 2.600 5.092 3.584
Pd 0.524 0.329 4.240
Pb 3.974 2.903 3.584
F 6.087 3.929 3.229


(5)
10
Lattice="5.398 0.000 0.000 0.000 5.619 0.000 -2.683 -2.810 10.550" Properties=species:S:1:pos:R:3 comment="NaLaTl3, relaxed, DFT PBE-GGA" ef_ev_per_atom=-0.066 de_polymorph_mev_per_atom=0.0 total_magnetization_mub_per_cell=0.00 crystal_system=monoclinic pbc="T T T"
Tl 4.048 0.000 0.616
La 4.064 2.810 2.211
Na 1.356 0.000 2.604
Tl -1.336 2.810 6.097
Tl 1.349 0.000 6.274
Na 1.359 2.810 7.946
Tl -1.333 2.810 9.934
La -1.349 0.000 8.339
Tl 4.051 0.000 4.453
Tl 1.366 2.810 4.276


(6)
26
Lattice="4.910 0.000 0.000 0.000 14.199 0.000 0.000 0.000 16.132" Properties=species:S:1:pos:R:3 comment="Rb5Ge2Te6, relaxed, DFT PBE-GGA" total_magnetization_mub_per_cell=0.00 crystal_system=orthorhombic e_form_raw_ev_per_atom=-0.688 pbc="T T T"
Te 0.000 2.369 6.407
Te 0.000 0.421 14.549
Rb 2.455 9.627 7.948
Rb 2.455 0.000 8.066
Te 0.000 7.521 9.648
Te 2.455 4.571 3.426
Ge 0.000 4.541 4.868
Te 0.000 13.777 1.583
Rb 2.455 6.086 12.047
Te 0.000 6.678 6.483
Ge 0.000 11.640 3.198
Te 2.455 11.670 4.640
Rb 2.455 8.113 4.085
Te 2.455 2.529 11.492
Rb 2.455 2.527 0.118
Rb 2.455 7.099 0.000
Ge 0.000 2.558 12.934
Te 2.455 9.628 12.706
Rb 2.455 4.572 8.184
Te 0.000 4.730 14.472
Te 0.000 9.468 1.659
Rb 2.455 1.013 3.981
Ge 0.000 9.658 11.264
Rb 2.455 13.185 12.151
Te 0.000 11.830 9.725
Rb 2.455 11.671 16.014


no.,theoretical density (g cm⁻³),E (eV per atom)
1,9.760,-6.654
2,10.726,-4.669
3,5.401,-3.758
4,5.438,-4.389
5,8.043,-2.735
6,3.952,-3.220